(1)
An optimized crystal structure of LiFeCuB, computed with PBE-GGA.

```
4
Lattice="0.000 2.618 2.618 2.618 0.000 2.618 2.618 2.618 0.000" Properties=species:S:1:pos:R:3 pbc="T T T"
B 1.309 1.309 1.309
Cu 0.000 0.000 0.000
Fe 2.618 2.618 2.618
Li 3.927 3.927 3.927
```

Total moment ... 0.1 μB/f.u.
Uncorrected energy ... -4.926 eV per atom

***

(2)
An optimized crystal structure of LuFeCuB, computed with PBE-GGA.

```
4
Lattice="4.106 -0.395 0.652 1.396 -2.312 3.185 1.890 -3.649 -0.740" Properties=species:S:1:pos:R:3 pbc="T T T"
B 0.000 0.000 0.000
Cu 5.543 -4.768 2.322
Fe 1.848 -1.589 0.774
Lu 3.695 -3.178 1.548
```

Total moment ... 0.8 μB/f.u.
Uncorrected energy ... -5.289 eV per atom

***

(3)
An optimized crystal structure of LuFeCuB, computed with PBE-GGA.

```
4
Lattice="0.000 3.023 3.023 3.023 0.000 3.023 3.023 3.023 0.000" Properties=species:S:1:pos:R:3 pbc="T T T"
B 0.000 0.000 0.000
Cu 4.534 4.534 4.534
Fe 3.023 3.023 3.023
Lu 1.511 1.511 1.511
```

Total moment ... 2.6 μB/f.u.
Uncorrected energy ... -5.289 eV per atom